Entry 1:
DFT (PBE-GGA) results for an optimized crystal structure of Tl2TeRu.

Output
E_tot, eV/atom: -4.152
Total moment, μB/f.u.: 0.12
ΔE_f (raw), eV/atom: 0.135

a b c (Å): 3.2361 3.2361 10.1285
angles (deg): 90.00 90.00 90.00
Site moments in Bohr magnetons follow the coordinates.
Sites, in units of the cell vectors:
Ru 0.0000 0.0000 0.5260  0.10
Te 0.5000 0.5000 0.6623  0.00
Tl 0.0000 0.0000 0.0071  0.00
Tl 0.5000 0.5000 0.3046  0.00

***

Entry 2:
DFT (PBE-GGA) results for an optimized crystal structure of TlTe2Ru.

Output
E_tot, eV/atom: -3.897
Total moment, μB/f.u.: 0.64
ΔE_f (raw), eV/atom: 0.585

a b c (Å): 5.1427 5.1427 3.7253
angles (deg): 90.00 90.00 104.55
Site moments in Bohr magnetons follow the coordinates.
Sites, in units of the cell vectors:
Ru 0.0000 0.5000 0.5000  0.61
Te 0.0000 0.0000 0.0000  0.00
Te 0.5000 0.5000 0.0000  0.00
Tl 0.5000 0.0000 0.5000  0.01

***

Entry 3:
DFT (PBE-GGA) results for an optimized crystal structure of Tl2TeRu.

Output
E_tot, eV/atom: -4.152
Total moment, μB/f.u.: 0.00
ΔE_f (raw), eV/atom: 0.136

a b c (Å): 3.7137 3.7137 9.4144
angles (deg): 84.08 84.08 55.30
Sites, in units of the cell vectors:
Ru 0.4905 0.4905 0.4836
Te 0.1983 0.1983 0.3252
Tl 0.0366 0.0366 0.9873
Tl 0.7746 0.7746 0.7039

***

Question: Which value of total moment does entry 3 give?
Answer: 0.00 μB/f.u.